A plane-wave DFT calculation with PBE was carried out for a relaxed structure of DyHfGaPd.

Unit cell a=6.8793 b=6.8793 c=6.8793 alpha=90.00 beta=90.00 gamma=90.00
Space group F-43m (No. 216)
One atom of each set of equivalent atoms:
Dy: 0.0000 0.0000 0.0000 [4 per cell]
Hf: 0.0000 0.0000 0.5000 [4 per cell]
Ga: 0.2500 0.2500 0.7500 [4 per cell]
Pd: 0.2500 0.2500 0.2500 [4 per cell]

Calculated values
Energy relative to the elements (kJ/mol of formula units): -197

A plane-wave DFT calculation with PBE was carried out for a relaxed structure of DyEr2Sc.

Unit cell a=3.4938 b=3.4938 c=33.2178 alpha=90.00 beta=90.00 gamma=120.00
Space group R3m (No. 160, hexagonal axes)
One atom of each set of equivalent atoms:
Dy: 0.0000 0.0000 0.0000 [3 per cell]
Er: 0.0000 0.0000 0.2478 [3 per cell]
Er: 0.0000 0.0000 0.4198 [3 per cell]
Sc: 0.0000 0.0000 0.8341 [3 per cell]

Calculated values
ΔE to the lowest computed polymorph (eV per atom): 0.016
Energy relative to the elements (kJ/mol of formula units): 12

A plane-wave DFT calculation with PBE was carried out for a relaxed structure of AcPrDyAg.

Unit cell a=7.9735 b=7.9735 c=7.9735 alpha=90.00 beta=90.00 gamma=90.00
Space group F-43m (No. 216)
One atom of each set of equivalent atoms:
Ac: 0.0000 0.0000 0.0000 [4 per cell]
Pr: 0.2500 0.2500 0.7500 [4 per cell]
Dy: 0.2500 0.2500 0.2500 [4 per cell]
Ag: 0.0000 0.0000 0.5000 [4 per cell]

Calculated values
Energy relative to the elements (kJ/mol of formula units): 65

A plane-wave DFT calculation with PBE was carried out for a relaxed structure of CoPSe2.

Unit cell a=4.5223 b=4.5223 c=3.0696 alpha=90.00 beta=90.00 gamma=90.00
Space group P4/mmm (No. 123)
One atom of each set of equivalent atoms:
Co: 0.0000 0.0000 0.0000 [1 per cell]
P: 0.5000 0.5000 0.0000 [1 per cell]
Se: 0.0000 0.5000 0.5000 [2 per cell]

Number 1: total magnetization 0.00 μB/atom, total energy -6.205 eV/atom. Number 2: total magnetization 0.00 μB/atom, total energy -4.983 eV/atom. Number 3: total magnetization 0.00 μB/atom, total energy -3.916 eV/atom. Number 4: total magnetization 0.14 μB/atom, total energy -4.282 eV/atom.